# CrAsOs2

An optimized crystal structure of CrAsOs2 (PBE, Alexandria).

Cell and atoms, written as POSCAR:
```
CrAsOs2
1.0
-1.514 -0.762 4.406
-1.738 -3.215 2.988
3.996 -1.268 1.561
Cr As Os
1 1 2
direct
0.262 0.262 0.259
0.506 0.506 0.469
0.997 0.997 0.993
0.734 0.734 0.778
```

Calculated values
SG = Cm
energy of formation from the pure elements = 1.3 eV per formula unit
volume = 14.25 Å³ per atom
final energy = -8.85 eV per atom